No. 1
Density functional theory data (PBE) for crystalline TbZr4N6 at its relaxed geometry.

Properties
The total magnetization comes out at 0.00 μB/cell. The uncorrected formation energy is -1.618 eV/atom. As for the volume: 13.05 A^3/atom.

Cell lengths 3.2232, 10.8025, 16.4850 Å; angles 90.00, 90.00, 90.00 degrees
Closest atoms and distances in Å follow each position.
Space group Cmcm (No. 63)
Unique sites:
Tb1 0.0000 0.1485 0.2500 [4 per cell]  6 N 2.35-2.51
Zr1 0.0000 0.1071 0.6380 [8 per cell]  5 N 2.07-2.28
Zr2 0.0000 0.3694 0.5487 [8 per cell]  5 N 2.11-2.29
N1 0.0000 0.0000 0.0000 [4 per cell]  6 Zr 2.29-2.55
N2 0.0000 0.1934 0.7500 [4 per cell]  2 Zr 2.07
N3 0.0000 0.2706 0.0825 [8 per cell]  5 Zr 2.28-2.41
N4 0.0000 0.4651 0.6600 [8 per cell]  3 Zr 2.11-2.25

=====

No. 2
Density functional theory data (PBE) for crystalline Cu2MoPb at its relaxed geometry.

Properties
The total magnetization comes out at 0.00 μB/cell. As for the volume: 18.30 A^3/atom. The formation energy from the elements is 0.8285 eV per atom.

Cell lengths 3.9162, 3.9162, 19.0882 Å; angles 90.00, 90.00, 90.00 degrees
Closest atoms and distances in Å follow each position.
Space group I-42d (No. 122)
Unique sites:
Cu1 0.2027 0.2500 0.1250 [8 per cell]  2 Cu 2.52, 2 Mo 2.70
Mo1 0.0000 0.0000 0.0000 [4 per cell]  4 Cu 2.70, 4 Pb 2.77
Pb1 0.0000 0.0000 0.5000 [4 per cell]  4 Mo 2.77, 4 Cu 2.83

=====

No. 3
Density functional theory data (PBE) for crystalline ErGa4NiPd2 at its relaxed geometry.

Properties
The total magnetization comes out at 0.00 μB/cell. As for the volume: 16.59 A^3/atom. The formation energy from the elements is -0.5728 eV per atom.

Cell lengths 4.2459, 4.2459, 25.5087 Å; angles 90.00, 90.00, 120.00 degrees
Closest atoms and distances in Å follow each position.
Space group R-3m (No. 166, hexagonal axes)
Unique sites:
Er1 0.0000 0.0000 0.0000 [3 per cell]  6 Ga 2.97
Ga1 0.0000 0.0000 0.1352 [6 per cell]  3 Ni 2.58, 4 Pd 2.68-2.70
Ga2 0.0000 0.0000 0.3990 [6 per cell]  3 Pd 2.54, 1 Ni 2.58
Ni1 0.0000 0.0000 0.5000 [3 per cell]  8 Ga 2.58
Pd1 0.0000 0.0000 0.2410 [6 per cell]  7 Ga 2.54-2.70

=====

No. 4
Density functional theory data (PBE) for crystalline Sr3MoPt at its relaxed geometry.

Properties
The total magnetization comes out at 4.70 μB/cell. As for the volume: 39.72 A^3/atom. The formation energy from the elements is 0.3939 eV per atom.

Cell lengths 5.8345, 5.8345, 5.8345 Å; angles 90.00, 90.00, 90.00 degrees
Closest atoms and distances in Å follow each position.
Space group Pm-3m (No. 221)
Unique sites:
Sr1 0.0000 0.0000 0.5000 [3 per cell]  2 Pt 2.92
Mo1 0.5000 0.5000 0.5000 [1 per cell]  12 Sr 4.13
Pt1 0.0000 0.0000 0.0000 [1 per cell]  6 Sr 2.92

=====

No. 5
Density functional theory data (PBE) for crystalline NdAlSi at its relaxed geometry.

Properties
The total magnetization comes out at 0.00 μB/cell. The uncorrected formation energy is -0.669 eV/atom. As for the volume: 21.73 A^3/atom.

Cell lengths 4.2276, 4.2276, 14.5890 Å; angles 90.00, 90.00, 90.00 degrees
Closest atoms and distances in Å follow each position.
Space group I4_1md (No. 109)
Unique sites:
Nd1 0.0000 0.0000 0.0000 [4 per cell]  6 Al 3.22-3.23, 6 Si 3.22-3.23
Al1 0.0000 0.0000 0.5838 [4 per cell]  3 Si 2.42-2.44
Si1 0.0000 0.0000 0.4177 [4 per cell]  3 Al 2.42-2.44

=====

No. 6
Density functional theory data (PBE) for crystalline Y2RuSe at its relaxed geometry.

Properties
The total magnetization comes out at 0.00 μB/cell. The uncorrected formation energy is -0.690 eV/atom. As for the volume: 22.07 A^3/atom.

Cell lengths 3.5418, 4.3884, 11.3578 Å; angles 90.00, 90.00, 90.00 degrees
Closest atoms and distances in Å follow each position.
Space group Imm2 (No. 44)
Unique sites:
Y1 0.0000 0.0000 0.0000 [2 per cell]  4 Se 2.95, 2 Ru 3.15
Y2 0.0000 0.5000 0.2284 [2 per cell]  4 Ru 2.82, 2 Se 3.12
Ru1 0.0000 0.5000 0.7291 [2 per cell]  6 Y 2.82-3.15, 2 Se 2.83
Se1 0.0000 0.0000 0.4231 [2 per cell]  2 Ru 2.83, 6 Y 2.95-3.12

=====

No. 7
Density functional theory data (PBE) for crystalline ScVGePd2 at its relaxed geometry.

Properties
The total magnetization comes out at 0.00 μB/cell. As for the volume: 20.77 A^3/atom. The formation energy from the elements is 0.9497 eV per atom.

Cell lengths 4.6909, 4.6909, 4.7204 Å; angles 90.00, 90.00, 90.00 degrees
Closest atoms and distances in Å follow each position.
Space group P4/mmm (No. 123)
Unique sites:
Sc1 0.0000 0.0000 0.0000 [1 per cell]  4 Pd 2.35, 2 V 2.36
V1 0.0000 0.0000 0.5000 [1 per cell]  2 Sc 2.36
Ge1 0.5000 0.5000 0.5000 [1 per cell]  4 V 3.32, 8 Pd 3.33
Pd1 0.0000 0.5000 0.0000 [2 per cell]  2 Sc 2.35

=====

No. 8
Density functional theory data (PBE) for crystalline PSeCl2O at its relaxed geometry.

Properties
The total magnetization comes out at 0.00 μB/cell. The uncorrected formation energy is 0.813 eV/atom. As for the volume: 17.48 A^3/atom.

Cell lengths 4.5497, 4.5497, 4.2215 Å; angles 90.00, 90.00, 90.00 degrees
Closest atoms and distances in Å follow each position.
Space group P4/mmm (No. 123)
Unique sites:
P1 0.0000 0.0000 0.0000 [1 per cell]  2 O 2.11
Se1 0.5000 0.5000 0.0000 [1 per cell]  8 Cl 3.10, 4 P 3.22
Cl1 0.0000 0.5000 0.5000 [2 per cell]  2 O 2.27
O1 0.0000 0.0000 0.5000 [1 per cell]  2 P 2.11, 4 Cl 2.27